LaW | PBE-GGA | relaxed

Unit cell a=4.408 b=4.408 c=14.329 alpha=90.00 beta=90.00 gamma=120.00
Positions (direct):
La 0.333 0.667 0.894
La 0.667 0.333 0.394
La 0.667 0.333 0.106
La 0.333 0.667 0.606
W 0.000 0.000 0.750
W 0.000 0.000 0.250
W 0.333 0.667 0.250
W 0.667 0.333 0.750

## Properties
**ΔH_f (0 K)**: 533 meV per atom
**Polymorph energy (0 for the lowest one)**: 0.38 eV/f.u.
**SG**: P6_3/mmc, No. 194


SrInClF2 | PBE-GGA | relaxed

Unit cell a=4.219 b=7.062 c=8.775 alpha=110.06 beta=90.00 gamma=90.00
Positions (direct):
Sr 0.250 0.309 0.070
Sr 0.750 0.691 0.930
In 0.250 0.284 0.555
In 0.750 0.716 0.445
Cl 0.250 0.942 0.158
Cl 0.750 0.058 0.842
F 0.750 0.521 0.633
F 0.250 0.479 0.367
F 0.750 0.500 0.121
F 0.250 0.500 0.879

## Properties
**E_form (uncorrected)**: -2.611 eV per atom
**SG**: P2_1/m, No. 11


Repeat the first record exactly.
LaW | PBE-GGA | relaxed

Unit cell a=4.408 b=4.408 c=14.329 alpha=90.00 beta=90.00 gamma=120.00
Positions (direct):
La 0.333 0.667 0.894
La 0.667 0.333 0.394
La 0.667 0.333 0.106
La 0.333 0.667 0.606
W 0.000 0.000 0.750
W 0.000 0.000 0.250
W 0.333 0.667 0.250
W 0.667 0.333 0.750

## Properties
**ΔH_f (0 K)**: 533 meV per atom
**Polymorph energy (0 for the lowest one)**: 0.38 eV/f.u.
**SG**: P6_3/mmc, No. 194